(1)
Crystalline NdEr3Tl at its relaxed geometry. Source: Alexandria via LeMat-Bulk, functional PBE-GGA.

**Energy above the most stable polymorph in this dataset**: 0 meV per atom
**Formation energy from the elements**: -109 meV per atom

Cell lengths 12.9290, 12.9290, 4.8094 Å; angles 90.00, 90.00, 158.34 degrees
Atoms (fractional coordinates):
1 Nd 0.1474 0.8526 0.7500
2 Nd 0.8526 0.1474 0.2500
3 Er 0.0460 0.9540 0.2500
4 Er 0.2509 0.7491 0.2500
5 Er 0.4492 0.5508 0.2500
6 Er 0.5508 0.4492 0.7500
7 Er 0.7491 0.2509 0.7500
8 Er 0.9540 0.0460 0.7500
9 Tl 0.3462 0.6538 0.7500
10 Tl 0.6538 0.3462 0.2500



(2)
Crystalline AgPt2 at its relaxed geometry. Source: Alexandria via LeMat-Bulk, functional PBE-GGA.

**Energy above the most stable polymorph in this dataset**: 172 meV per atom
**Formation energy from the elements**: 164 meV per atom

Cell lengths 4.9413, 4.9413, 4.9413 Å; angles 139.90, 139.90, 58.00 degrees
Atoms (fractional coordinates):
1 Ag 0.0000 0.0000 0.0000
2 Pt 0.3265 0.3265 0.0000
3 Pt 0.6735 0.6735 0.0000



(3)
Crystalline HoSc5Cd4 at its relaxed geometry. Source: Alexandria via LeMat-Bulk, functional PBE-GGA.

**Formation energy from the elements**: -213 meV per atom

Cell lengths 3.4799, 3.4799, 19.2989 Å; angles 90.00, 90.00, 90.00 degrees
Atoms (fractional coordinates):
1 Ho 0.0000 0.0000 0.0000
2 Sc 0.5000 0.5000 0.1204
3 Sc 0.5000 0.5000 0.3121
4 Sc 0.5000 0.5000 0.5000
5 Sc 0.5000 0.5000 0.6879
6 Sc 0.5000 0.5000 0.8796
7 Cd 0.0000 0.0000 0.2164
8 Cd 0.0000 0.0000 0.4053
9 Cd 0.0000 0.0000 0.5947
10 Cd 0.0000 0.0000 0.7836



(4)
Crystalline Na3UBr8 at its relaxed geometry. Source: Alexandria via LeMat-Bulk, functional PBE-GGA.

**VASP energy**: -3.624 eV/atom

Cell lengths 7.1711, 7.1711, 7.1711 Å; angles 90.00, 90.00, 90.00 degrees
Atoms (fractional coordinates):
1 Na 0.0000 0.0000 0.5000
2 Na 0.0000 0.5000 0.0000
3 Na 0.5000 0.0000 0.0000
4 U 0.5000 0.5000 0.5000
5 Br 0.2653 0.2653 0.2653
6 Br 0.2653 0.2653 0.7346
7 Br 0.2653 0.7346 0.2653
8 Br 0.2653 0.7346 0.7346
9 Br 0.7346 0.2653 0.2653
10 Br 0.7346 0.2653 0.7346
11 Br 0.7346 0.7346 0.2653
12 Br 0.7346 0.7346 0.7346



(5)
Crystalline BeAsPb2 at its relaxed geometry. Source: Alexandria via LeMat-Bulk, functional PBE-GGA.

**Energy above the most stable polymorph in this dataset**: 232 meV per atom
**Formation energy from the elements**: 414 meV per atom

Cell lengths 4.0695, 4.0695, 6.9437 Å; angles 106.96, 106.96, 61.36 degrees
Atoms (fractional coordinates):
1 Be 0.0000 0.0000 0.0000
2 As 0.5000 0.5000 0.5000
3 Pb 0.2573 0.2573 0.7786
4 Pb 0.7427 0.7427 0.2214



(6)
Crystalline PmPrScSn at its relaxed geometry. Source: Alexandria via LeMat-Bulk, functional PBE-GGA.

**Energy above the most stable polymorph in this dataset**: 0 meV per atom
**Formation energy from the elements**: -260 meV per atom

Cell lengths 5.4516, 5.4516, 5.4516 Å; angles 60.00, 60.00, 60.00 degrees
Atoms (fractional coordinates):
1 Pm 0.0000 0.0000 0.0000
2 Pr 0.5000 0.5000 0.5000
3 Sc 0.2500 0.2500 0.2500
4 Sn 0.7500 0.7500 0.7500